An optimized crystal structure of Dy3Tm4Sc2, computed with GGA-PBE.

Results
raw total energy: -87.0 eV/cell
space group: C2/c, No. 15
formation enthalpy at 0 K: 9 kJ per mole of atoms
crystal system: monoclinic
E above lowest polymorph: 0.000 eV per atom
magnetization: 0.00 μB/cell

Unit cell a=6.5986 b=11.3857 c=11.3857 alpha=50.62 beta=57.77 gamma=57.77
Last column: nearest neighbours and their distance in Å.
Element x y z (fractional)
Tm 0.9718 0.1874 0.4349  4 Sc 3.30-3.58, 4 Dy 3.31-3.51, 2 Tm 3.38-3.55
Dy 0.7500 0.4874 0.5126  2 Dy 3.31, 6 Tm 3.42-3.60, 2 Sc 3.59
Sc 0.5581 0.8777 0.4524  1 Sc 3.19, 5 Tm 3.30-3.53, 2 Dy 3.31-3.40
Dy 0.4343 0.1989 0.1056  6 Tm 3.26-3.51, 3 Sc 3.31-3.59, 2 Dy 3.42
Sc 0.9419 0.5476 0.1223  1 Sc 3.19, 5 Tm 3.30-3.53, 2 Dy 3.31-3.40
Tm 0.9808 0.1984 0.8350  3 Tm 3.20-3.55, 4 Dy 3.26-3.45, 2 Sc 3.30-3.53
Tm 0.5282 0.5651 0.8126  4 Sc 3.30-3.58, 4 Dy 3.31-3.51, 2 Tm 3.38-3.55
Dy 0.9343 0.1056 0.1989  6 Tm 3.26-3.51, 3 Sc 3.31-3.59, 2 Dy 3.42
Tm 0.4808 0.8350 0.1984  3 Tm 3.20-3.55, 4 Dy 3.26-3.45, 2 Sc 3.30-3.53
Tm 0.0192 0.8016 0.1650  3 Tm 3.20-3.55, 4 Dy 3.26-3.45, 2 Sc 3.30-3.53
Tm 0.0282 0.8126 0.5651  4 Sc 3.30-3.58, 4 Dy 3.31-3.51, 2 Tm 3.38-3.55
Sc 0.0581 0.4524 0.8777  1 Sc 3.19, 5 Tm 3.30-3.53, 2 Dy 3.31-3.40
Sc 0.4419 0.1223 0.5476  1 Sc 3.19, 5 Tm 3.30-3.53, 2 Dy 3.31-3.40
Dy 0.0657 0.8944 0.8011  6 Tm 3.26-3.51, 3 Sc 3.31-3.59, 2 Dy 3.42
Dy 0.2500 0.5126 0.4874  2 Dy 3.31, 6 Tm 3.42-3.60, 2 Sc 3.59
Dy 0.5657 0.8011 0.8944  6 Tm 3.26-3.51, 3 Sc 3.31-3.59, 2 Dy 3.42
Tm 0.4718 0.4349 0.1874  4 Sc 3.30-3.58, 4 Dy 3.31-3.51, 2 Tm 3.38-3.55
Tm 0.5192 0.1650 0.8016  3 Tm 3.20-3.55, 4 Dy 3.26-3.45, 2 Sc 3.30-3.53